Y2TaBr after structural relaxation. Source: Alexandria via LeMat-Bulk, functional PBE-GGA.

a b c (Å): 3.381 5.256 5.849
angles (deg): 90.00 106.79 90.00
Space group Pm (No. 6)
Unique sites:
Y1 0.000 0.000 0.000
Y2 0.279 0.500 0.563
Ta1 0.737 0.000 0.479
Br1 0.547 0.500 0.097

Calculated values
size of the total moment	0.0	μB/f.u.
relative energy among the computed polymorphs	0.228	eV per atom
formation energy (no corrections)	-0.21	eV/f.u.